Entry 1:
GGA-PBE Co2RhCl, optimized geometry; density = 7.2 g cm⁻³; DFT total energy = -5.6287 eV per atom; excess energy over the best structure of this formula in the dataset = 0.0 kJ per mole of atoms; formation energy without anion corrections = 0.224 eV/atom; symmetry = No. 6; calculated volume = 59.2 Å³ per cell
1.0
2.8342 0.0000 0.0000
0.0000 3.0833 0.0329
0.0000 -0.0784 6.7749
Co Cl Rh
2 1 1
Direct
0.5000 0.2505 0.2344 Co
0.0000 0.7500 0.0471 Co
0.5000 0.7486 0.7709 Cl
0.0000 0.7509 0.4476 Rh

***

Entry 2:
GGA-PBE La9Ce3Si8S32I4, optimized geometry; density = 4.1 g cm⁻³; DFT total energy = -5.8641 eV per atom; formation energy without anion corrections = -1.510 eV/atom; symmetry = No. 1; calculated volume = 1402.4 Å³ per cell
1.0
9.0191 0.0079 0.0348
4.2366 12.6959 0.0015
2.2055 5.3881 12.2528
Si S Ce La I
8 32 3 9 4
Direct
0.7946 0.8845 0.5834 Si
0.0064 0.6723 0.2963 Si
0.7069 0.6146 0.9167 Si
0.9934 0.3280 0.7043 Si
0.5053 0.1727 0.7959 Si
0.4926 0.8282 0.2044 Si
0.2065 0.1147 0.4165 Si
0.2931 0.3854 0.0820 Si
0.0224 0.2692 0.3803 S
0.3424 0.5172 0.9341 S
0.2541 0.8858 0.1634 S
0.9839 0.7239 0.1271 S
0.7456 0.9535 0.7041 S
0.4843 0.2240 0.6266 S
0.0156 0.2760 0.8736 S
0.7564 0.5462 0.7955 S
0.6545 0.4832 0.0640 S
0.4040 0.0327 0.8832 S
0.4770 0.2308 0.1187 S
0.5161 0.7758 0.3736 S
0.3937 0.3037 0.8544 S
0.5227 0.7690 0.8802 S
0.5938 0.9687 0.1171 S
0.1039 0.1968 0.6459 S
0.4139 0.1485 0.4364 S
0.1558 0.9829 0.5641 S
0.2457 0.6165 0.3352 S
0.9046 0.5325 0.3837 S
0.7550 0.3857 0.6631 S
0.8448 0.0166 0.4359 S
0.5881 0.8492 0.5643 S
0.2541 0.0470 0.2950 S
0.2451 0.4535 0.2033 S
0.7442 0.1173 0.8357 S
0.0864 0.3501 0.0628 S
0.9787 0.7300 0.6205 S
0.9148 0.6479 0.9362 S
0.8961 0.8026 0.3556 S
0.0951 0.4684 0.6186 S
0.6034 0.6969 0.1460 S
0.7712 0.6287 0.5539 Ce
0.1035 0.4970 0.8205 Ce
0.2693 0.1296 0.0526 Ce
0.1717 0.8292 0.4213 La
0.7324 0.8711 0.9474 La
0.2326 0.3713 0.4474 La
0.8292 0.1706 0.5792 La
0.8948 0.5006 0.1811 La
0.3955 0.0004 0.6810 La
0.6704 0.3296 0.9199 La
0.6049 0.9985 0.3195 La
0.3288 0.6708 0.0791 La
0.8809 0.1197 0.1303 I
0.1189 0.8808 0.8691 I
0.6192 0.3807 0.3689 I
0.3817 0.6189 0.6310 I

***

Q: Look up the DFT total energy of the first one.
A: -5.6287 eV per atom